Record 1
{"formula": "TbPaNiPt", "functional": "PBE", "state": "relaxed", "e_tot_ev_per_atom": -7.043, "crystal_system": "cubic", "dos_ef_per_ev_cell": 5.9, "ef_mev_per_atom": -556, "cell": [[0.0000, 3.4600, 3.4600], [3.4600, 0.0000, 3.4600], [3.4600, 3.4600, 0.0000]], "species": ["Tb", "Pa", "Ni", "Pt"], "frac_coords": [[0.0000, 0.0000, 0.0000], [0.5000, 0.5000, 0.5000], [0.2500, 0.2500, 0.2500], [0.7500, 0.7500, 0.7500]]}

***

Record 2
{"formula": "YPaNiPt", "functional": "PBE", "state": "relaxed", "e_tot_ev_per_atom": -7.497, "crystal_system": "cubic", "dos_ef_per_ev_cell": 5.9, "ef_mev_per_atom": -551, "cell": [[0.0000, 3.4605, 3.4605], [3.4605, 0.0000, 3.4605], [3.4605, 3.4605, 0.0000]], "species": ["Y", "Pa", "Ni", "Pt"], "frac_coords": [[0.0000, 0.0000, 0.0000], [0.5000, 0.5000, 0.5000], [0.7500, 0.7500, 0.7500], [0.2500, 0.2500, 0.2500]]}

***

Record 3
{"formula": "Pa2Zn3Ni12Pt", "functional": "PBE", "state": "relaxed", "e_tot_ev_per_atom": -5.593, "crystal_system": "trigonal", "dos_ef_per_ev_cell": 8.2, "ef_mev_per_atom": -136, "cell": [[4.1984, 2.4240, 4.0992], [-4.1984, 2.4240, 4.0992], [0.0000, -4.8479, 4.0992]], "species": ["Pa", "Pa", "Zn", "Zn", "Zn", "Ni", "Ni", "Ni", "Ni", "Ni", "Ni", "Ni", "Ni", "Ni", "Ni", "Ni", "Ni", "Pt"], "frac_coords": [[0.1693, 0.1693, 0.1693], [0.8307, 0.8307, 0.8307], [0.0000, 0.5000, 0.5000], [0.5000, 0.0000, 0.5000], [0.5000, 0.5000, 0.0000], [0.1006, 0.1006, 0.6127], [0.1006, 0.6127, 0.1006], [0.1998, 0.7042, 0.7042], [0.2958, 0.2958, 0.8002], [0.2958, 0.8002, 0.2958], [0.3873, 0.8994, 0.8994], [0.6127, 0.1006, 0.1006], [0.7042, 0.1998, 0.7042], [0.7042, 0.7042, 0.1998], [0.8002, 0.2958, 0.2958], [0.8994, 0.3873, 0.8994], [0.8994, 0.8994, 0.3873], [0.5000, 0.5000, 0.5000]]}